A geometry-optimized Ca2BeCr structure, computed with PBE. Values from VASP.

Properties
V (Å³/atom): 22.2
N(E_F) (states/eV per cell): 7.98
Symmetry: I-4m2
E_form (eV per atom): 0.64
Mass density (g/cm³): 2.6

Geometry as Quantum ESPRESSO input:
```
&SYSTEM
  ibrav = 0, nat = 8, ntyp = 3
/
ATOMIC_SPECIES
Ca 40.08 Ca.upf
Be 9.01 Be.upf
Cr 52.00 Cr.upf
CELL_PARAMETERS angstrom
5.0193 0.0000 0.0000
0.0000 5.0193 0.0000
0.0000 0.0000 7.0562
ATOMIC_POSITIONS crystal
Ca 0.0000 0.0000 0.0000
Ca 0.0000 0.5000 0.2500
Ca 0.5000 0.0000 0.7500
Ca 0.5000 0.5000 0.5000
Be 0.0000 0.0000 0.5000
Be 0.5000 0.5000 0.0000
Cr 0.0000 0.5000 0.7500
Cr 0.5000 0.0000 0.2500
```